The following is a DFT calculation (meta-GGA SCAN) of CeEuAl4 at its PBEsol-relaxed geometry.

CIF file:
```
data_CeEuAl4
_cell_length_a 5.5821
_cell_length_b 5.5821
_cell_length_c 5.5821
_cell_angle_alpha 60.00
_cell_angle_beta 60.00
_cell_angle_gamma 60.00
_symmetry_space_group_name_H-M 'P 1'
_symmetry_Int_Tables_number 1
_symmetry_space_group_name_Hall 'P 1'
loop_
_atom_site_label
_atom_site_type_symbol
_atom_site_fract_x
_atom_site_fract_y
_atom_site_fract_z
Ce1 Ce 0.0000 0.0000 0.0000
Eu1 Eu 0.2500 0.2500 0.2500
Al1 Al 0.1233 0.6256 0.6256
Al2 Al 0.6256 0.1233 0.6256
Al3 Al 0.6256 0.6256 0.1233
Al4 Al 0.6256 0.6256 0.6256
```

## Properties
Magnetization (μB/f.u.): 8.24
Calculated formation energy (meV/atom): -437